1.
Material: Hf2TcHS
Method: DFT, PBE
State: optimized geometry

Computed properties:
V	111.7	Å³ per cell
spin magnetization	0.0	μB/cell
density	7.3	g cm⁻³
DOS(E_F)	0.76	states/eV/atom
raw total energy	-33.8	eV/cell

Lattice parameters (Å, degrees): 5.019 4.434 5.019 90.00 90.00 90.00
Positions (direct):
1 Hf 0.000 0.000 0.500
2 Hf 0.500 0.000 0.000
3 H 0.500 0.500 0.500
4 S 0.000 0.500 0.000
5 Tc 0.000 0.000 0.000



2.
Material: NdY2Pd
Method: DFT, PBE
State: optimized geometry

Computed properties:
V	461.3	Å³ per cell
spin magnetization	0.0	μB/cell
density	6.2	g cm⁻³
energy of formation	-0.450	eV per atom
DOS(E_F)	1.22	states/eV/atom
relative energy among the computed polymorphs	0.0	kJ per mole of atoms

Lattice parameters (Å, degrees): 6.583 7.142 9.813 90.00 90.00 90.00
Positions (direct):
1 Pd 0.930 0.614 0.750
2 Pd 0.070 0.386 0.250
3 Pd 0.430 0.886 0.250
4 Pd 0.570 0.114 0.750
5 Y 0.173 0.678 0.439
6 Y 0.673 0.822 0.939
7 Y 0.673 0.822 0.561
8 Y 0.827 0.322 0.561
9 Y 0.827 0.322 0.939
10 Y 0.173 0.678 0.061
11 Y 0.327 0.178 0.439
12 Y 0.327 0.178 0.061
13 Nd 0.636 0.520 0.250
14 Nd 0.864 0.020 0.250
15 Nd 0.364 0.480 0.750
16 Nd 0.136 0.980 0.750



3.
Material: RbBPb
Method: DFT, PBE
State: optimized geometry

Computed properties:
V	182.1	Å³ per cell
spin magnetization	0.0	μB/cell
density	5.5	g cm⁻³
energy of formation	0.841	eV per atom
DOS(E_F)	0.31	states/eV/atom

Lattice parameters (Å, degrees): 4.933 4.933 8.639 90.00 90.00 120.00
Positions (direct):
1 Rb 0.667 0.333 0.000
2 Rb 0.667 0.333 0.500
3 B 0.333 0.667 0.902
4 B 0.333 0.667 0.098
5 Pb 0.000 0.000 0.795
6 Pb 0.000 0.000 0.205



4.
Material: Sm5PaRh6
Method: DFT, PBE
State: optimized geometry

Computed properties:
V	258.0	Å³ per cell
spin magnetization	0.0	μB/cell
density	10.3	g cm⁻³
energy of formation	-0.754	eV per atom
DOS(E_F)	0.46	states/eV/atom

Lattice parameters (Å, degrees): 4.927 7.082 8.559 65.55 73.34 90.00
Positions (direct):
1 Rh 0.852 0.078 0.297
2 Rh 0.148 0.375 0.704
3 Rh 0.500 0.777 0.000
4 Rh 0.852 0.625 0.296
5 Rh 0.148 0.922 0.703
6 Rh 0.500 0.223 0.000
7 Sm 0.336 0.336 0.327
8 Sm 0.664 0.664 0.673
9 Sm 0.324 0.824 0.352
10 Sm 0.676 0.176 0.648
11 Sm 0.000 0.500 0.000
12 Pa 0.000 0.000 0.000



5.
Material: Y2CdSe
Method: DFT, PBE
State: optimized geometry

Computed properties:
V	104.6	Å³ per cell
spin magnetization	1.4	μB/cell
density	5.9	g cm⁻³
DOS(E_F)	1.23	states/eV/atom
formation energy without anion corrections	-41	meV per atom
relative energy among the computed polymorphs	96.1	kJ per mole of atoms

Lattice parameters (Å, degrees): 5.289 5.289 5.289 60.00 60.00 60.00
Positions (direct):
1 Y 0.250 0.250 0.250
2 Y 0.000 0.000 0.000
3 Se 0.750 0.750 0.750
4 Cd 0.500 0.500 0.500



6.
Material: La2ZrAs
Method: DFT, PBE
State: optimized geometry

Computed properties:
V	110.8	Å³ per cell
spin magnetization	0.0	μB/cell
density	6.7	g cm⁻³
energy of formation	-0.510	eV per atom
DOS(E_F)	1.09	states/eV/atom

Lattice parameters (Å, degrees): 6.144 6.144 5.404 71.85 71.85 35.07
Positions (direct):
1 La 0.038 0.038 0.914
2 La 0.239 0.239 0.286
3 Zr 0.443 0.443 0.512
4 As 0.779 0.779 0.789